Cr2FeRu (PBE, optimized geometry); crystal system = trigonal; symmetry = R-3m, No. 166; volume = 12.1 Å³ per atom; excess energy over the best structure of this formula in the dataset = 0.0966 eV/atom
1.0
1.2960 0.7482 8.3268
-1.2960 0.7482 8.3268
0.0000 -1.4965 8.3268
Cr Fe Ru
2 1 1
direct
0.2464 0.2464 0.2464 Cr
0.7536 0.7536 0.7536 Cr
0.5000 0.5000 0.5000 Fe
0.0000 0.0000 0.0000 Ru